Compound: BeMoRu2
Source: the Alexandria database
Functional: PBE
Structure: optimized geometry

Cell lengths 2.6514, 2.6514, 8.2581 Å; angles 90.00, 90.00, 111.87 degrees
Fractional positions:
Ru 0.0000 0.0000 0.0005
Ru 0.5000 0.5000 0.2770
Mo 0.5000 0.5000 0.7322
Be 0.0000 0.0000 0.4903

Calculated values
SG ... Cmm2 (35)

=====

Compound: BeMo2Ru
Source: the Alexandria database
Functional: PBE
Structure: optimized geometry

Cell lengths 7.1557, 7.1557, 5.5447 Å; angles 49.81, 49.81, 90.00 degrees
Fractional positions:
Ru 0.0000 0.0000 0.0000
Ru 0.7500 0.2500 0.5000
Mo 0.5444 0.1250 0.2500
Mo 0.2056 0.6250 0.2500
Mo 0.3750 0.4556 0.7500
Mo 0.8750 0.7944 0.7500
Be 0.5000 0.5000 0.0000
Be 0.2500 0.7500 0.5000

Calculated values
SG ... I-42d (122)

=====

Compound: BeMoRu2
Source: the Alexandria database
Functional: PBE
Structure: optimized geometry

Cell lengths 8.2017, 8.2017, 8.2017 Å; angles 19.37, 19.37, 19.37 degrees
Fractional positions:
Ru 0.9919 0.9919 0.9919
Ru 0.5081 0.5081 0.5081
Mo 0.7500 0.7500 0.7500
Be 0.2500 0.2500 0.2500

Calculated values
SG ... R-3m (166)

=====

Compound: BeMo2Ru
Source: the Alexandria database
Functional: PBE
Structure: optimized geometry

Cell lengths 5.0933, 5.0933, 4.4216 Å; angles 60.40, 60.40, 34.03 degrees
Fractional positions:
Ru 0.5206 0.5206 0.5257
Mo 0.9810 0.9810 0.0613
Mo 0.7550 0.7550 0.7111
Be 0.2433 0.2433 0.2019

Calculated values
SG ... Cm (8)

=====

Compound: BeMoRu3
Source: the Alexandria database
Functional: PBE
Structure: optimized geometry

Cell lengths 4.0743, 4.0743, 4.0743 Å; angles 90.00, 90.00, 90.00 degrees
Fractional positions:
Ru 0.0000 0.5000 0.0000
Ru 0.0000 0.0000 0.5000
Ru 0.5000 0.0000 0.0000
Mo 0.5000 0.5000 0.5000
Be 0.0000 0.0000 0.0000

Calculated values
SG ... Pm-3m (221)
E above lowest polymorph ... 0 meV/atom

=====

Compound: BeMoRu4
Source: the Alexandria database
Functional: PBE
Structure: optimized geometry

Cell lengths 5.0151, 5.0151, 5.0151 Å; angles 60.00, 60.00, 60.00 degrees
Fractional positions:
Be 0.2500 0.2500 0.2500
Mo 0.0000 0.0000 0.0000
Ru 0.6244 0.6244 0.1269
Ru 0.6244 0.1269 0.6244
Ru 0.6244 0.6244 0.6244
Ru 0.1269 0.6244 0.6244

Calculated values
SG ... F-43m (216)

=====

Compound: BeMoRu
Source: the Alexandria database
Functional: PBE
Structure: optimized geometry

Cell lengths 4.0404, 4.0404, 4.0404 Å; angles 60.00, 60.00, 60.00 degrees
Fractional positions:
Ru 0.7500 0.7500 0.7500
Mo 0.5000 0.5000 0.5000
Be 0.0000 0.0000 0.0000

Calculated values
SG ... F-43m (216)
E above lowest polymorph ... 669 meV/atom

=====

Compound: BeMo2Ru
Source: the Alexandria database
Functional: PBE
Structure: optimized geometry

Cell lengths 3.1815, 4.1221, 4.2241 Å; angles 90.00, 90.00, 90.00 degrees
Fractional positions:
Ru 0.5000 0.0000 0.5000
Mo 0.0000 0.0000 0.0000
Mo 0.5000 0.5000 0.0000
Be 0.0000 0.5000 0.5000

Calculated values
SG ... Pmmm (47)

=====

Compound: BeMo2Ru
Source: the Alexandria database
Functional: PBE
Structure: optimized geometry

Cell lengths 4.2857, 4.2857, 4.2857 Å; angles 60.00, 60.00, 60.00 degrees
Fractional positions:
Ru 0.7500 0.7500 0.7500
Mo 0.0000 0.0000 0.0000
Mo 0.2500 0.2500 0.2500
Be 0.5000 0.5000 0.5000

Calculated values
SG ... F-43m (216)

=====

Compound: BeMo2Ru
Source: the Alexandria database
Functional: PBE
Structure: optimized geometry

Cell lengths 4.9894, 4.9894, 4.9894 Å; angles 137.66, 137.66, 61.42 degrees
Fractional positions:
Ru 0.5000 0.5000 0.0000
Mo 0.0000 0.0000 0.0000
Mo 0.2500 0.7500 0.5000
Be 0.7500 0.2500 0.5000

Calculated values
SG ... I-4m2 (119)

=====

Compound: BeMoRu
Source: the Alexandria database
Functional: PBE
Structure: optimized geometry

Cell lengths 4.1739, 7.2793, 5.0704 Å; angles 90.00, 90.00, 90.00 degrees
Fractional positions:
Mo 0.2500 0.7478 0.5084
Mo 0.7500 0.2478 0.9916
Mo 0.2500 0.7522 0.0084
Mo 0.7500 0.2522 0.4916
Ru 0.7500 0.9178 0.2628
Ru 0.7500 0.5822 0.7628
Ru 0.2500 0.0822 0.7372
Ru 0.2500 0.4178 0.2372
Be 0.7500 0.5843 0.2609
Be 0.7500 0.9157 0.7609
Be 0.2500 0.0843 0.2391
Be 0.2500 0.4157 0.7391

Calculated values
SG ... Pnma (62)
E above lowest polymorph ... 172 meV/atom

=====

Compound: BeMoRu2
Source: the Alexandria database
Functional: PBE
Structure: optimized geometry

Cell lengths 6.5509, 6.5509, 5.2787 Å; angles 51.65, 51.65, 90.00 degrees
Fractional positions:
Ru 0.5599 0.1250 0.2500
Ru 0.1901 0.6250 0.2500
Ru 0.3750 0.4401 0.7500
Ru 0.8750 0.8099 0.7500
Mo 0.0000 0.0000 0.0000
Mo 0.7500 0.2500 0.5000
Be 0.5000 0.5000 0.0000
Be 0.2500 0.7500 0.5000

Calculated values
SG ... I-42d (122)

=====

Number 1: size of the total moment 0.000 μB/atom, calculated total energy -32.01 eV per cell. Number 2: size of the total moment 0.000 μB/atom, calculated total energy -64.45 eV per cell. Number 3: size of the total moment 0.000 μB/atom, calculated total energy -32.95 eV per cell. Number 4: size of the total moment 0.000 μB/atom, calculated total energy -34.29 eV per cell. Number 5: size of the total moment 0.000 μB/atom, calculated total energy -40.73 eV per cell. Number 6: size of the total moment 0.000 μB/atom, calculated total energy -48.72 eV per cell. Number 7: size of the total moment 0.000 μB/atom, calculated total energy -22.58 eV per cell. Number 8: size of the total moment 0.000 μB/atom, calculated total energy -34.31 eV per cell. Number 9: size of the total moment 0.000 μB/atom, calculated total energy -34.25 eV per cell. Number 10: size of the total moment 0.000 μB/atom, calculated total energy -34.10 eV per cell. Number 11: size of the total moment 0.000 μB/atom, calculated total energy -96.27 eV per cell. Number 12: size of the total moment 0.000 μB/atom, calculated total energy -62.84 eV per cell.